BaNa2Cl | GGA-PBE | relaxed

a b c (Å): 4.0634 4.0634 11.5412
angles (deg): 79.86 79.86 60.00
Closest atoms and distances in Å follow each position.
Element x y z (fractional)
Na  0.8824  0.8824  0.3527  3 Cl 2.88
Cl  0.5000  0.5000  0.5000  6 Na 2.88
Ba  0.0000  0.0000  0.0000  2 Na 3.99, 6 Ba 4.06
Na  0.1176  0.1176  0.6473  3 Cl 2.88

## Properties
**Volume**: 161.6 Å³/f.u.
**Space-group type**: R-3m (166)
**Crystal system**: trigonal
**Energy relative to the elements, uncorrected**: -0.700 eV per atom
**Energy relative to the lowest polymorph listed for this composition**: 32 meV per atom

Hf3Zn7Pd | GGA-PBE | relaxed

a b c (Å): 3.0558 9.8868 12.7391
angles (deg): 90.00 90.00 98.89
Closest atoms and distances in Å follow each position.
Element x y z (fractional)
Zn  0.5048  0.0095  0.5922  2 Zn 2.36-2.50, 2 Pd 2.59
Zn  0.4952  0.9905  0.0922  2 Zn 2.36-2.50, 2 Pd 2.59
Hf  0.1202  0.2403  0.4441  7 Zn 2.82-3.06, 2 Hf 3.06
Zn  0.4952  0.9905  0.4078  2 Zn 2.36-2.50, 2 Pd 2.59
Hf  0.2735  0.5469  0.7500  5 Zn 2.76-2.83, 2 Hf 3.06
Zn  0.2643  0.5286  0.0726  3 Zn 2.36-2.46
Hf  0.8798  0.7597  0.5559  7 Zn 2.82-3.06, 2 Hf 3.06
Hf  0.7265  0.4531  0.2500  5 Zn 2.76-2.83, 2 Hf 3.06
Zn  0.5048  0.0095  0.9078  2 Zn 2.36-2.50, 2 Pd 2.59
Pd  0.9664  0.9328  0.2500  10 Zn 2.59-2.78
Zn  0.6265  0.2530  0.6519  3 Zn 2.36-2.50
Zn  0.7357  0.4714  0.5726  3 Zn 2.36-2.46
Zn  0.6265  0.2530  0.8481  3 Zn 2.36-2.50
Zn  0.3735  0.7470  0.1519  3 Zn 2.36-2.50
Zn  0.5850  0.1701  0.2500  2 Zn 2.67, 5 Hf 2.76-2.99, 2 Pd 2.78
Zn  0.2643  0.5286  0.4274  3 Zn 2.36-2.46
Hf  0.1202  0.2403  0.0559  7 Zn 2.82-3.06, 2 Hf 3.06
Zn  0.3735  0.7470  0.3481  3 Zn 2.36-2.50
Pd  0.0336  0.0672  0.7500  10 Zn 2.59-2.78
Zn  0.4150  0.8299  0.7500  2 Zn 2.67, 5 Hf 2.76-2.99, 2 Pd 2.78
Hf  0.8798  0.7597  0.9441  7 Zn 2.82-3.06, 2 Hf 3.06
Zn  0.7357  0.4714  0.9274  3 Zn 2.36-2.46

## Properties
**Volume**: 190.1 Å³/f.u.
**Space-group type**: Cmcm (63)
**Crystal system**: orthorhombic
**Formation enthalpy at 0 K**: -114 kJ/mol of formula units

MoOsSN2 | GGA-PBE | relaxed

a b c (Å): 3.8394 3.8394 5.0931
angles (deg): 90.00 90.00 90.00
Closest atoms and distances in Å follow each position.
Element x y z (fractional)
N  0.5000  0.0000  0.0000  2 Mo 1.92
Os  0.5000  0.5000  0.5000  4 S 2.71
S  0.0000  0.0000  0.5000  2 Mo 2.55, 4 Os 2.71
Mo  0.0000  0.0000  0.0000  4 N 1.92
N  0.0000  0.5000  0.0000  2 Mo 1.92

## Properties
**Volume**: 75.1 Å³/f.u.
**Space-group type**: P4/mmm (123)
**Crystal system**: tetragonal
**Energy relative to the elements, uncorrected**: 1.269 eV per atom
**Energy relative to the lowest polymorph listed for this composition**: 302 meV per atom

PuHgI3 | GGA-PBE | relaxed

a b c (Å): 7.7821 7.7821 11.1498
angles (deg): 69.58 69.58 60.00
Closest atoms and distances in Å follow each position.
Element x y z (fractional)
Pu  0.3334  0.3334  0.9997  6 I 3.09
I  0.2973  0.5852  0.1762  2 Pu 3.09
Hg  0.8376  0.8376  0.4872  6 I 4.21-4.25, 3 Hg 4.50
I  0.9414  0.2973  0.1762  2 Pu 3.09
Hg  0.1624  0.1624  0.5128  6 I 4.21-4.25, 3 Hg 4.50
I  0.7027  0.4148  0.8238  2 Pu 3.09
I  0.0586  0.7027  0.8238  2 Pu 3.09
I  0.4148  0.0586  0.8238  2 Pu 3.09
Pu  0.6666  0.6666  0.0003  6 I 3.09
I  0.5852  0.9414  0.1762  2 Pu 3.09

## Properties
**Volume**: 267.6 Å³/f.u.
**Space-group type**: R-3 (148)
**Crystal system**: trigonal
**Energy relative to the elements, uncorrected**: -0.849 eV per atom
**Energy relative to the lowest polymorph listed for this composition**: 0 meV per atom

KZr2Cd | GGA-PBE | relaxed

a b c (Å): 3.0936 3.0936 11.4437
angles (deg): 90.00 90.00 90.00
Closest atoms and distances in Å follow each position.
Element x y z (fractional)
K  0.5000  0.5000  0.7500  4 K 3.09
Zr  0.0000  0.0000  0.4443  4 Zr 3.09, 4 Cd 3.12
Cd  0.5000  0.5000  0.2500  4 Cd 3.09, 8 Zr 3.12
Zr  0.0000  0.0000  0.0557  4 Zr 3.09, 4 Cd 3.12

## Properties
**Volume**: 109.5 Å³/f.u.
**Space-group type**: P4/mmm (123)
**Crystal system**: tetragonal
**Formation enthalpy at 0 K**: 170 kJ/mol of formula units

Co5Re | GGA-PBE | relaxed

a b c (Å): 4.7904 4.7904 9.6367
angles (deg): 140.39 140.39 31.30
Closest atoms and distances in Å follow each position.
Element x y z (fractional)
Co  0.6737  0.6737  0.3370  10 Co 2.46-2.58, 2 Re 2.55
Co  0.1095  0.1095  0.7185  10 Co 2.46-2.58, 2 Re 2.58
Re  0.7782  0.7782  0.0581  10 Co 2.49-2.58, 2 Re 2.58
Co  0.9909  0.9909  0.9930  9 Co 2.48-2.59, 3 Re 2.49-2.54
Co  0.4502  0.4502  0.3984  10 Co 2.47-2.59, 2 Re 2.57
Co  0.3308  0.3308  0.6616  11 Co 2.49-2.58, 1 Re 2.53

## Properties
**Volume**: 68.9 Å³/f.u.
**Space-group type**: Cm (8)
**Crystal system**: monoclinic
**Formation enthalpy at 0 K**: 41 kJ/mol of formula units
**Energy relative to the lowest polymorph listed for this composition**: 42 meV per atom

AcNb2PdO8 | GGA-PBE | relaxed

a b c (Å): 5.0838 5.0825 6.7701
angles (deg): 88.43 88.42 83.58
Closest atoms and distances in Å follow each position.
Element x y z (fractional)
O  0.3140  0.3124  0.9941  1 Nb 1.86
Nb  0.5380  0.5383  0.2305  4 O 1.86-1.98
O  0.3322  0.3304  0.5342  1 Nb 1.91
O  0.1976  0.7662  0.2131  1 Nb 1.98, 1 Pd 2.05
O  0.2323  0.8009  0.7869  1 Nb 1.98, 1 Pd 2.05
Pd  0.0000  0.0000  0.0000  4 O 2.05
Ac  0.0000  0.0000  0.5000  6 O 2.44-2.53
O  0.8024  0.2338  0.7869  1 Nb 1.98, 1 Pd 2.05
Nb  0.4620  0.4617  0.7695  4 O 1.86-1.98
O  0.6860  0.6876  0.0059  1 Nb 1.86
O  0.7677  0.1991  0.2131  1 Nb 1.98, 1 Pd 2.05
O  0.6678  0.6696  0.4658  1 Nb 1.91

## Properties
**Volume**: 173.7 Å³/f.u.
**Space-group type**: P-1 (2)
**Crystal system**: triclinic
**Energy relative to the elements, uncorrected**: -2.181 eV per atom

RbNa3Au2 | GGA-PBE | relaxed

a b c (Å): 4.9603 9.3495 9.4583
angles (deg): 114.75 90.00 105.38
Closest atoms and distances in Å follow each position.
Element x y z (fractional)
Au  0.4825  0.9651  0.8431  1 Au 2.75, 4 Na 2.98-3.03
Na  0.0337  0.0674  0.3504  3 Au 2.99-3.02
Na  0.6807  0.3614  0.4463  4 Au 3.03-3.19, 3 Na 3.29-3.35
Na  0.9663  0.9326  0.6496  3 Au 2.99-3.02
Rb  0.1485  0.2971  0.0733  6 Au 3.74-3.89, 7 Na 3.93-4.14
Rb  0.8515  0.7029  0.9267  6 Au 3.74-3.89, 7 Na 3.93-4.14
Au  0.8173  0.6346  0.3400  6 Na 2.99-3.19
Na  0.6008  0.2017  0.6997  3 Au 2.98-2.99, 1 Na 3.29
Na  0.3992  0.7983  0.3003  3 Au 2.98-2.99, 1 Na 3.29
Au  0.5175  0.0349  0.1569  1 Au 2.75, 4 Na 2.98-3.03
Na  0.3193  0.6386  0.5537  4 Au 3.03-3.19, 3 Na 3.29-3.35
Au  0.1827  0.3654  0.6600  6 Na 2.99-3.19

## Properties
**Volume**: 190.5 Å³/f.u.
**Space-group type**: C2/m (12)
**Crystal system**: monoclinic
**Formation enthalpy at 0 K**: -129 kJ/mol of formula units
**Energy relative to the lowest polymorph listed for this composition**: 0 meV per atom

DOS at the Fermi energy: 2.754; 16.525; 3.503; 25.199; 4.297; 6.543; 0.695; 4.138 (states/eV/cell)